No. 1
Entry from the Alexandria database: crystalline AgBCl3 at its relaxed geometry (PBE-GGA).

## Properties
- calculated volume (A^3/atom) = 22.3
- size of the total moment (μB per formula unit) = 0.000
- uncorrected formation energy (meV/atom) = -619

Unit cell a=6.296 b=7.181 c=11.682 alpha=90.00 beta=122.47 gamma=90.00
Space group P2_1/c (No. 14)
Asymmetric unit:
Ag 0.173 0.065 0.243 x4
B 0.495 0.091 0.046 x4
Cl 0.190 0.223 0.954 x4
Cl 0.242 0.734 0.913 x4
Cl 0.449 0.510 0.285 x4

No. 2
Entry from the Alexandria database: crystalline AgBCl4 at its relaxed geometry (PBE-GGA).

## Properties
- calculated volume (A^3/atom) = 32.4
- size of the total moment (μB per formula unit) = 0.000
- uncorrected formation energy (meV/atom) = -704

Unit cell a=11.101 b=7.300 c=9.725 alpha=90.00 beta=99.32 gamma=90.00
Space group C2/m (No. 12)
Asymmetric unit:
Ag 0.103 0.000 0.425 x4
B 0.139 0.500 0.768 x4
Cl 0.012 0.500 0.205 x4
Cl 0.111 0.000 0.696 x4
Cl 0.167 0.500 0.593 x4
Cl 0.240 0.000 0.096 x4

No. 3
Entry from the Alexandria database: crystalline Ag3BCl at its relaxed geometry (PBE-GGA).

## Properties
- calculated volume (A^3/atom) = 18.1
- size of the total moment (μB per formula unit) = 0.004
- uncorrected formation energy (meV/atom) = 551

Unit cell a=4.488 b=4.488 c=4.488 alpha=90.00 beta=90.00 gamma=90.00
Space group Pm-3m (No. 221)
Asymmetric unit:
Ag 0.000 0.000 0.500 x3
B 0.000 0.000 0.000 x1
Cl 0.500 0.500 0.500 x1

No. 4
Entry from the Alexandria database: crystalline AgBCl2 at its relaxed geometry (PBE-GGA).

## Properties
- calculated volume (A^3/atom) = 18.8
- size of the total moment (μB per formula unit) = 0.000
- uncorrected formation energy (meV/atom) = 743

Unit cell a=6.698 b=6.698 c=6.698 alpha=90.00 beta=90.00 gamma=90.00
Space group Fm-3m (No. 225)
Asymmetric unit:
Ag 0.000 0.000 0.000 x4
B 0.000 0.000 0.500 x4
Cl 0.250 0.250 0.250 x8

No. 5
Entry from the Alexandria database: crystalline Ag2BCl5 at its relaxed geometry (PBE-GGA).

## Properties
- calculated volume (A^3/atom) = 30.1
- size of the total moment (μB per formula unit) = 0.000
- uncorrected formation energy (meV/atom) = -622

Unit cell a=10.544 b=11.033 c=8.292 alpha=90.00 beta=90.00 gamma=90.00
Space group Pnnm (No. 58)
Asymmetric unit:
Ag 0.000 0.000 0.223 x4
Ag 0.156 0.367 0.500 x4
B 0.211 0.753 0.500 x4
Cl 0.082 0.629 0.500 x4
Cl 0.113 0.873 0.000 x4
Cl 0.130 0.905 0.500 x4
Cl 0.193 0.233 0.182 x8

No. 6
Entry from the Alexandria database: crystalline Ag2BCl6 at its relaxed geometry (PBE-GGA).

## Properties
- calculated volume (A^3/atom) = 29.4
- size of the total moment (μB per formula unit) = 0.613
- uncorrected formation energy (meV/atom) = -293

Unit cell a=7.101 b=7.101 c=10.494 alpha=90.00 beta=90.00 gamma=90.00
Space group P4_2/mnm (No. 136)
Asymmetric unit:
Ag 0.000 0.000 0.166 x4
B 0.000 0.000 0.500 x2
Cl 0.141 0.141 0.370 x8
Cl 0.180 0.180 0.000 x4

No. 7
Entry from the Alexandria database: crystalline AgB2Cl at its relaxed geometry (PBE-GGA).

## Properties
- calculated volume (A^3/atom) = 16.6
- size of the total moment (μB per formula unit) = 0.000
- uncorrected formation energy (meV/atom) = 1431

Unit cell a=5.330 b=5.330 c=9.371 alpha=90.00 beta=90.00 gamma=90.00
Space group I-42d (No. 122)
Asymmetric unit:
Ag 0.000 0.000 0.000 x4
B 0.231 0.250 0.125 x8
Cl 0.000 0.000 0.500 x4

No. 8
Entry from the Alexandria database: crystalline AgB2Cl at its relaxed geometry (PBE-GGA).

## Properties
- calculated volume (A^3/atom) = 15.1
- size of the total moment (μB per formula unit) = 0.000
- uncorrected formation energy (meV/atom) = 1962

Unit cell a=6.231 b=6.231 c=6.231 alpha=90.00 beta=90.00 gamma=90.00
Space group Fm-3m (No. 225)
Asymmetric unit:
Ag 0.000 0.000 0.000 x4
B 0.250 0.250 0.250 x8
Cl 0.000 0.000 0.500 x4